No. 1
# BaPmB4, relaxed, DFT GGA-PBE
data_BaPmB4
_cell_length_a 3.1660
_cell_length_b 7.8885
_cell_length_c 8.0614
_cell_angle_alpha 90.00
_cell_angle_beta 90.00
_cell_angle_gamma 90.00
_space_group_name_H-M_alt 'I m m m'
_space_group_IT_number 71
_space_group_name_Hall '-I 2 2'
loop_
_atom_site_label
_atom_site_type_symbol
_atom_site_fract_x
_atom_site_fract_y
_atom_site_fract_z
Ba1 Ba 0.0000 0.0000 0.0000
Pm1 Pm 0.0000 0.0000 0.5000
B1 B 0.0000 0.2669 0.2485
# energy above the lowest structure with this stoichiometry: 0 meV/atom

No. 2
# BaPrB4, relaxed, DFT GGA-PBE
data_BaPrB4
_cell_length_a 3.1713
_cell_length_b 7.9692
_cell_length_c 8.1306
_cell_angle_alpha 90.00
_cell_angle_beta 90.00
_cell_angle_gamma 90.00
_space_group_name_H-M_alt 'I m m m'
_space_group_IT_number 71
_space_group_name_Hall '-I 2 2'
loop_
_atom_site_label
_atom_site_type_symbol
_atom_site_fract_x
_atom_site_fract_y
_atom_site_fract_z
Ba1 Ba 0.0000 0.0000 0.0000
Pr1 Pr 0.0000 0.0000 0.5000
B1 B 0.0000 0.2662 0.2485
# energy above the lowest structure with this stoichiometry: 0 meV/atom

no.,M_tot (μB per cell)
1,0.01
2,0.01